Entry 1:
Here is TaTe2Rh at its PBEsol-relaxed geometry from Alexandria. Energies are from meta-GGA SCAN. Values from VASP.

```
&SYSTEM
  ibrav = 0, nat = 4, ntyp = 3
/
ATOMIC_SPECIES
Rh 102.91 Rh.upf
Ta 180.95 Ta.upf
Te 127.60 Te.upf
CELL_PARAMETERS angstrom
3.320 0.000 0.000
1.660 2.876 0.000
1.660 0.959 8.150
ATOMIC_POSITIONS crystal
Rh 0.500 0.500 0.500
Ta 0.000 0.000 0.000
Te 0.248 0.248 0.255
Te 0.752 0.752 0.745
```

Results
size of the total moment = 0.00 μB per cell
E_tot = -1.604 hartree per atom
SG = R-3m (166)

Entry 2:
Here is TaTiRh3 at its PBEsol-relaxed geometry from Alexandria. Energies are from meta-GGA SCAN. Values from VASP.

```
&SYSTEM
  ibrav = 0, nat = 5, ntyp = 3
/
ATOMIC_SPECIES
Ti 47.87 Ti.upf
Rh 102.91 Rh.upf
Ta 180.95 Ta.upf
CELL_PARAMETERS angstrom
4.405 0.000 0.000
0.000 4.405 0.000
0.000 0.000 4.405
ATOMIC_POSITIONS crystal
Ti 0.000 0.000 0.000
Rh 0.000 0.500 0.000
Rh 0.000 0.000 0.500
Rh 0.500 0.000 0.000
Ta 0.500 0.500 0.500
```

Results
size of the total moment = 1.76 μB per cell
energy above the lowest structure with this stoichiometry = 0.000 eV per atom
E_tot = -1.328 hartree per atom
SG = Pm-3m (221)

Entry 3:
Here is Ta3TlRh at its PBEsol-relaxed geometry from Alexandria. Energies are from meta-GGA SCAN. Values from VASP.

```
&SYSTEM
  ibrav = 0, nat = 5, ntyp = 3
/
ATOMIC_SPECIES
Tl 204.38 Tl.upf
Rh 102.91 Rh.upf
Ta 180.95 Ta.upf
CELL_PARAMETERS angstrom
-2.662 -0.085 -3.957
3.814 -1.331 -2.537
-1.059 -4.580 0.811
ATOMIC_POSITIONS crystal
Tl 0.500 0.500 0.500
Rh 0.000 0.000 0.000
Ta 0.000 0.500 0.000
Ta 0.000 0.000 0.500
Ta 0.500 0.000 0.000
```

Results
size of the total moment = 0.00 μB per cell
E_tot = -2.210 hartree per atom
SG = Pm-3m (221)

Entry 4:
Here is Ta2RhW at its PBEsol-relaxed geometry from Alexandria. Energies are from meta-GGA SCAN. Values from VASP.

```
&SYSTEM
  ibrav = 0, nat = 4, ntyp = 3
/
ATOMIC_SPECIES
Rh 102.91 Rh.upf
Ta 180.95 Ta.upf
W 183.84 W.upf
CELL_PARAMETERS angstrom
-0.273 -2.126 1.749
2.681 -0.048 -0.680
1.776 5.233 6.638
ATOMIC_POSITIONS crystal
Rh 0.500 0.500 0.255
Ta 0.000 0.000 0.015
Ta 0.500 0.500 0.745
W 0.000 0.000 0.484
```

Results
size of the total moment = 0.00 μB per cell
E_tot = -2.178 hartree per atom
SG = Cmm2 (35)

Entry 5:
Here is Ta2RhW at its PBEsol-relaxed geometry from Alexandria. Energies are from meta-GGA SCAN. Values from VASP.

```
&SYSTEM
  ibrav = 0, nat = 4, ntyp = 3
/
ATOMIC_SPECIES
Rh 102.91 Rh.upf
W 183.84 W.upf
Ta 180.95 Ta.upf
CELL_PARAMETERS angstrom
3.251 0.000 0.000
0.000 4.445 0.000
0.000 0.000 4.445
ATOMIC_POSITIONS crystal
Rh 0.500 0.000 0.000
W 0.500 0.500 0.500
Ta 0.000 0.000 0.500
Ta 0.000 0.500 0.000
```

Results
size of the total moment = 0.00 μB per cell
E_tot = -2.186 hartree per atom
SG = P4/mmm (123)

Entry 6:
Here is YTa2Rh2 at its PBEsol-relaxed geometry from Alexandria. Energies are from meta-GGA SCAN. Values from VASP.

```
&SYSTEM
  ibrav = 0, nat = 5, ntyp = 3
/
ATOMIC_SPECIES
Y 88.91 Y.upf
Rh 102.91 Rh.upf
Ta 180.95 Ta.upf
CELL_PARAMETERS angstrom
-0.152 4.333 -0.568
-4.090 -0.341 -1.508
0.309 -1.432 5.823
ATOMIC_POSITIONS crystal
Y 0.000 0.000 0.000
Rh 0.375 0.375 0.750
Rh 0.625 0.625 0.250
Ta 0.250 0.750 0.500
Ta 0.750 0.250 0.500
```

Results
size of the total moment = 0.00 μB per cell
E_tot = -1.701 hartree per atom
SG = I4/mmm (139)

Entry 7:
Here is YTa2Rh at its PBEsol-relaxed geometry from Alexandria. Energies are from meta-GGA SCAN. Values from VASP.

```
&SYSTEM
  ibrav = 0, nat = 4, ntyp = 3
/
ATOMIC_SPECIES
Rh 102.91 Rh.upf
Ta 180.95 Ta.upf
Y 88.91 Y.upf
CELL_PARAMETERS angstrom
-0.226 2.492 2.077
1.134 -2.722 3.389
4.836 1.070 -0.759
ATOMIC_POSITIONS crystal
Rh 0.000 0.500 0.500
Ta 0.000 0.000 0.000
Ta 0.500 0.500 0.000
Y 0.500 0.000 0.500
```

Results
size of the total moment = 0.00 μB per cell
energy above the lowest structure with this stoichiometry = 0.000 eV per atom
E_tot = -1.792 hartree per atom
SG = Pmmm (47)

Entry 8:
Here is Y2TaRh at its PBEsol-relaxed geometry from Alexandria. Energies are from meta-GGA SCAN. Values from VASP.

```
&SYSTEM
  ibrav = 0, nat = 4, ntyp = 3
/
ATOMIC_SPECIES
Rh 102.91 Rh.upf
Ta 180.95 Ta.upf
Y 88.91 Y.upf
CELL_PARAMETERS angstrom
3.307 0.000 0.000
0.000 3.307 0.000
0.000 0.000 7.698
ATOMIC_POSITIONS crystal
Rh 0.500 0.500 0.500
Ta 0.500 0.500 0.000
Y 0.000 0.000 0.278
Y 0.000 0.000 0.722
```

Results
size of the total moment = 0.00 μB per cell
energy above the lowest structure with this stoichiometry = 0.000 eV per atom
E_tot = -1.439 hartree per atom
SG = P4/mmm (123)

Entry 9:
Here is YTaRh2 at its PBEsol-relaxed geometry from Alexandria. Energies are from meta-GGA SCAN. Values from VASP.

```
&SYSTEM
  ibrav = 0, nat = 4, ntyp = 3
/
ATOMIC_SPECIES
Rh 102.91 Rh.upf
Ta 180.95 Ta.upf
Y 88.91 Y.upf
CELL_PARAMETERS angstrom
-2.589 0.935 -1.087
-0.607 -4.009 -2.000
-2.466 -1.789 4.334
ATOMIC_POSITIONS crystal
Rh 0.000 0.000 0.935
Rh 0.500 0.500 0.318
Ta 0.000 0.000 0.435
Y 0.500 0.500 0.813
```

Results
size of the total moment = 0.00 μB per cell
E_tot = -1.501 hartree per atom
SG = Pmm2 (25)

Entry 10:
Here is YTaRh at its PBEsol-relaxed geometry from Alexandria. Energies are from meta-GGA SCAN. Values from VASP.

```
&SYSTEM
  ibrav = 0, nat = 3, ntyp = 3
/
ATOMIC_SPECIES
Rh 102.91 Rh.upf
Ta 180.95 Ta.upf
Y 88.91 Y.upf
CELL_PARAMETERS angstrom
4.462 0.000 0.000
2.231 3.864 0.000
2.231 1.288 3.643
ATOMIC_POSITIONS crystal
Rh 0.000 0.000 0.000
Ta 0.500 0.500 0.500
Y 0.250 0.250 0.250
```

Results
size of the total moment = 0.70 μB per cell
energy above the lowest structure with this stoichiometry = 1.228 eV per atom
E_tot = -1.527 hartree per atom
SG = F-43m (216)

Entry 11:
Here is YTaRh at its PBEsol-relaxed geometry from Alexandria. Energies are from meta-GGA SCAN. Values from VASP.

```
&SYSTEM
  ibrav = 0, nat = 3, ntyp = 3
/
ATOMIC_SPECIES
Rh 102.91 Rh.upf
Ta 180.95 Ta.upf
Y 88.91 Y.upf
CELL_PARAMETERS angstrom
-0.210 3.486 -2.854
-2.774 3.452 0.857
1.689 4.005 1.204
ATOMIC_POSITIONS crystal
Rh 0.250 0.250 0.250
Ta 0.000 0.000 0.000
Y 0.500 0.500 0.500
```

Results
size of the total moment = 0.63 μB per cell
energy above the lowest structure with this stoichiometry = 0.000 eV per atom
E_tot = -1.572 hartree per atom
SG = F-43m (216)

Entry 12:
Here is Y3TaRh at its PBEsol-relaxed geometry from Alexandria. Energies are from meta-GGA SCAN. Values from VASP.

```
&SYSTEM
  ibrav = 0, nat = 5, ntyp = 3
/
ATOMIC_SPECIES
Y 88.91 Y.upf
Rh 102.91 Rh.upf
Ta 180.95 Ta.upf
CELL_PARAMETERS angstrom
5.186 0.000 0.000
0.000 5.186 0.000
0.000 0.000 5.186
ATOMIC_POSITIONS crystal
Y 0.000 0.500 0.000
Y 0.000 0.000 0.500
Y 0.500 0.000 0.000
Rh 0.000 0.000 0.000
Ta 0.500 0.500 0.500
```

Results
size of the total moment = 3.28 μB per cell
E_tot = -1.340 hartree per atom
SG = Pm-3m (221)